Record 1
This record from the Alexandria database describes a relaxed structure of LiDyCo. The functional is GGA-PBE.

a = 3.8348 Å, b = 5.1241 Å, c = 6.4895 Å
α = 97.82°, β = 107.19°, γ = 90.00°
Site moments in Bohr magnetons follow the coordinates.
Fractional coordinates of all 6 atoms:
Co  0.7627  0.1127  0.5253  0.77
Co  0.2373  0.8873  0.4747  0.77
Li  0.5860  0.8157  0.1721  -0.01
Li  0.4140  0.1843  0.8279  -0.01
Dy  0.8624  0.6470  0.7248  -0.15
Dy  0.1376  0.3530  0.2752  -0.15

Computed properties:
energy: -27.19 eV/cell
M_tot: 0.54 μB/f.u.
SG: C2/m, No. 12
E_form: 9 meV per atom



Record 2
This record from the Alexandria database describes a relaxed structure of SmHo5Th4. The functional is GGA-PBE.

a = 11.0497 Å, b = 9.1395 Å, c = 6.8104 Å
α = 90.00°, β = 90.00°, γ = 90.00°
Fractional coordinates of all 20 atoms:
Sm  0.3913  0.0000  0.0000
Sm  0.6087  0.5000  0.5000
Ho  0.1537  0.8129  0.7501
Ho  0.1537  0.1871  0.7501
Ho  0.0661  0.5000  0.0000
Ho  0.1537  0.8129  0.2499
Ho  0.1537  0.1871  0.2499
Ho  0.8463  0.6871  0.2501
Ho  0.8463  0.3129  0.2501
Ho  0.9339  0.0000  0.5000
Ho  0.8463  0.3129  0.7499
Ho  0.8463  0.6871  0.7499
Th  0.6723  0.0000  0.7618
Th  0.5573  0.6823  0.0000
Th  0.5573  0.3177  0.0000
Th  0.6723  0.0000  0.2382
Th  0.3277  0.5000  0.2618
Th  0.4427  0.8177  0.5000
Th  0.4427  0.1823  0.5000
Th  0.3277  0.5000  0.7382

Computed properties:
energy: -107.74 eV/cell
M_tot: 0.00 μB/f.u.
SG: Pmmn, No. 59
E_form: 342 meV per atom



Record 3
This record from the Alexandria database describes a relaxed structure of ScCuNi. The functional is GGA-PBE.

a = 3.1625 Å, b = 3.1625 Å, c = 5.5198 Å
α = 90.00°, β = 90.00°, γ = 120.00°
Fractional coordinates of all 3 atoms:
Cu  0.0000  0.0000  0.0260
Ni  0.6667  0.3333  0.3251
Sc  0.3333  0.6667  0.6489

Computed properties:
energy: -16.00 eV/cell
M_tot: 0.00 μB/f.u.
SG: P3m1, No. 156
E_form: 69 meV per atom



Record 4
This record from the Alexandria database describes a relaxed structure of Li4In2Pb. The functional is GGA-PBE.

a = 4.6528 Å, b = 3.1954 Å, c = 9.9890 Å
α = 99.20°, β = 103.47°, γ = 90.00°
Fractional coordinates of all 7 atoms:
Li  0.6422  0.6422  0.2845
Li  0.3578  0.3578  0.7155
Li  0.0688  0.5688  0.1377
Li  0.9312  0.4312  0.8623
In  0.7956  0.7956  0.5912
In  0.2044  0.2044  0.4088
Pb  0.5000  0.0000  0.0000

Computed properties:
energy: -18.59 eV/cell
M_tot: 0.00 μB/f.u.
SG: Immm, No. 71
E_form: -250 meV per atom